No. 1
A plane-wave DFT calculation with PBE was carried out for Mn2Ni2H5 after structural relaxation.

abc: 9.7448 2.8690 4.7515
angles: 90.00 107.72 90.00
Space group C2/m (No. 12)
Symmetry-distinct sites (fractional):
Mn 0.1036 0.0000 0.3308
Ni 0.1344 0.5000 0.8401
H 0.0000 0.5000 0.0000
H 0.1797 0.0000 0.0186
H 0.1851 0.5000 0.5353

## Properties
- Energy above the lowest structure with this stoichiometry: 0.00 eV/f.u.

=====

No. 2
A plane-wave DFT calculation with PBE was carried out for Mn2NiH4 after structural relaxation.

abc: 4.9607 4.2980 5.2174
angles: 90.00 106.48 90.00
Space group P2_1/m (No. 11)
Symmetry-distinct sites (fractional):
Mn 0.1306 0.2500 0.0277
Mn 0.1882 0.2500 0.5434
Ni 0.3322 0.7500 0.8326
H 0.0258 0.5067 0.2448
H 0.4039 0.2500 0.8870
H 0.4231 0.2500 0.3201

=====

No. 3
A plane-wave DFT calculation with PBE was carried out for Mn2NiH after structural relaxation.

abc: 5.6818 5.6818 4.5743
angles: 90.00 90.00 90.00
Space group I-42d (No. 122)
Symmetry-distinct sites (fractional):
Mn 0.1532 0.2500 0.1250
Ni 0.0000 0.0000 0.5000
H 0.0000 0.0000 0.0000

## Properties
- Energy above the lowest structure with this stoichiometry: 1.02 eV/f.u.

=====

For reference, energy by record: -93.08 -73.11 -105.24 eV/cell.